Below is an optimized crystal structure of La2ScP2, with properties calculated at the GGA-PBE level.

POSCAR file:
```
La2ScP2
1.0
-2.733 2.733 5.053
2.733 -2.733 5.053
2.733 2.733 -5.053
La Sc P
2 1 2
Direct
0.175 0.175 0.000
0.825 0.825 0.000
0.500 0.500 0.000
0.250 0.750 0.500
0.750 0.250 0.500
```

Computed properties:
VASP energy, eV per atom: -5.889
SG: I4/mmm (139)
Calculated formation energy, eV/atom: -0.488
Size of the total moment, μB per atom: 0.242
E above lowest polymorph, eV/f.u.: 3.65

Below is an optimized crystal structure of Pr2Y2Ho2Er, with properties calculated at the GGA-PBE level.

POSCAR file:
```
Pr2Y2Ho2Er
1.0
5.897 -1.762 0.000
5.897 1.762 0.000
-3.815 0.000 11.231
Pr Y Ho Er
2 2 2 1
Direct
0.172 0.172 0.087
0.828 0.828 0.913
0.048 0.048 0.769
0.952 0.952 0.231
0.271 0.271 0.633
0.729 0.729 0.367
0.500 0.500 0.500
```

Computed properties:
VASP energy, eV per atom: -5.087
SG: C2/m (12)
Calculated formation energy, eV/atom: 0.085
Size of the total moment, μB per atom: 0.000

Below is an optimized crystal structure of Zr2Sb2F, with properties calculated at the GGA-PBE level.

POSCAR file:
```
Zr2Sb2F
1.0
-2.172 2.172 6.707
2.172 -2.172 6.707
2.172 2.172 -6.707
Zr Sb F
2 2 1
Direct
0.103 0.103 0.000
0.897 0.897 0.000
0.250 0.750 0.500
0.750 0.250 0.500
0.500 0.500 0.000
```

Computed properties:
VASP energy, eV per atom: -5.636
SG: I4/mmm (139)
Size of the total moment, μB per atom: 0.000
E above lowest polymorph, eV/f.u.: 4.06